Record 1
CaC3I PBE-GGA relaxed; space-group type = No. 221; polymorph energy (0 for the lowest one) = 0.715 eV per atom; volume = 115.8 Å³/cell; DOS at the Fermi energy = 4.38 states/eV/f.u.; ΔE_f (raw) = 3296 meV per atom
1.0
4.8748 0.0000 0.0000
0.0000 4.8748 0.0000
0.0000 0.0000 4.8748
Ca C I
1 3 1
direct
0.0000 0.0000 0.0000
0.0000 0.0000 0.5000
0.0000 0.5000 0.0000
0.5000 0.0000 0.0000
0.5000 0.5000 0.5000



Record 2
Tb8Tl2Ga PBE-GGA relaxed; space-group type = No. 12; volume = 322.1 Å³/cell; DOS at the Fermi energy = 12.20 states/eV/f.u.; calculated formation energy = -0.21 eV/atom
1.0
9.4497 -2.5869 0.0000
9.4497 2.5869 0.0000
-1.5965 0.0000 6.5878
Tb Tl Ga
8 2 1
direct
0.0160 0.0160 0.2707
0.2061 0.2061 0.8126
0.3467 0.3467 0.5160
0.4102 0.4102 0.0397
0.5898 0.5898 0.9603
0.6533 0.6533 0.4840
0.7939 0.7939 0.1874
0.9840 0.9840 0.7293
0.1826 0.1826 0.2517
0.8174 0.8174 0.7483
0.5000 0.5000 0.5000



Record 3
ZnPN3 PBE-GGA relaxed; space-group type = No. 221; volume = 57.9 Å³/cell; DOS at the Fermi energy = 2.10 states/eV/f.u.; ΔE_f (raw) = 2346 meV per atom
1.0
3.8693 0.0000 0.0000
0.0000 3.8693 0.0000
0.0000 0.0000 3.8693
Zn P N
1 1 3
direct
0.0000 0.0000 0.0000
0.5000 0.5000 0.5000
0.0000 0.0000 0.5000
0.0000 0.5000 0.0000
0.5000 0.0000 0.0000



Record 4
NiHg2PtPb PBE-GGA relaxed; space-group type = No. 123; volume = 119.0 Å³/cell; DOS at the Fermi energy = 2.29 states/eV/f.u.; calculated formation energy = 0.49 eV/atom
1.0
4.9104 0.0000 0.0000
0.0000 4.9104 0.0000
0.0000 0.0000 4.9333
Ni Hg Pt Pb
1 2 1 1
direct
0.0000 0.0000 0.0000
0.0000 0.5000 0.0000
0.5000 0.0000 0.0000
0.5000 0.5000 0.5000
0.0000 0.0000 0.5000



Record 5
Sc4PtSe PBE-GGA relaxed; space-group type = No. 216; volume = 125.8 Å³/cell; DOS at the Fermi energy = 9.77 states/eV/f.u.; ΔE_f (raw) = 59 meV per atom
1.0
0.0000 3.9768 3.9768
3.9768 0.0000 3.9768
3.9768 3.9768 0.0000
Sc Pt Se
4 1 1
direct
0.3756 0.3756 0.3756
0.3756 0.3756 0.8733
0.3756 0.8733 0.3756
0.8733 0.3756 0.3756
0.7500 0.7500 0.7500
0.0000 0.0000 0.0000



Record 6
Mg2TcWC PBE-GGA relaxed; space-group type = No. 123; volume = 106.4 Å³/cell; DOS at the Fermi energy = 3.66 states/eV/f.u.; calculated formation energy = 1.77 eV/atom
1.0
5.2130 0.0000 0.0000
0.0000 5.2130 0.0000
0.0000 0.0000 3.9168
Mg Tc W C
2 1 1 1
direct
0.0000 0.5000 0.0000
0.5000 0.0000 0.0000
0.0000 0.0000 0.5000
0.5000 0.5000 0.0000
0.5000 0.5000 0.5000



Which formula does entry 6 have? Mg2TcWC



Which value of volume does entry 5 give? 125.8 Å³/cell



Repeat the fourth record exactly.
NiHg2PtPb PBE-GGA relaxed; space-group type = No. 123; volume = 119.0 Å³/cell; DOS at the Fermi energy = 2.29 states/eV/f.u.; calculated formation energy = 0.49 eV/atom
1.0
4.9104 0.0000 0.0000
0.0000 4.9104 0.0000
0.0000 0.0000 4.9333
Ni Hg Pt Pb
1 2 1 1
direct
0.0000 0.0000 0.0000
0.0000 0.5000 0.0000
0.5000 0.0000 0.0000
0.5000 0.5000 0.5000
0.0000 0.0000 0.5000